No. 1
The following is a DFT calculation (PBE-GGA) of a relaxed CrCo2MoH crystal.

ΔE to the lowest computed polymorph in meV per atom: 48.0
Space-group type: P4/mmm, No. 123
Uncorrected energy in Ry per atom: -0.55524

Cell lengths 3.5876, 3.5876, 3.9033 Å; angles 90.00, 90.00, 90.00 degrees
Closest atoms and distances in Å follow each position.
Element x y z (fractional)
Cr  0.0000  0.0000  0.0000  4 Mo 2.54, 8 Co 2.65
Co  0.0000  0.5000  0.5000  2 H 1.79
Co  0.5000  0.0000  0.5000  2 H 1.79
Mo  0.5000  0.5000  0.0000  2 H 1.95
H  0.5000  0.5000  0.5000  4 Co 1.79, 2 Mo 1.95

=====

No. 2
The following is a DFT calculation (PBE-GGA) of a relaxed NbCrCo2H crystal.

ΔE to the lowest computed polymorph in meV per atom: 53.5
Space-group type: P4/mmm, No. 123
Uncorrected energy in Ry per atom: -0.54690

Cell lengths 3.6164, 3.6164, 3.9223 Å; angles 90.00, 90.00, 90.00 degrees
Closest atoms and distances in Å follow each position.
Element x y z (fractional)
Nb  0.0000  0.0000  0.0000  2 H 1.96
Cr  0.5000  0.5000  0.0000  4 Nb 2.56, 8 Co 2.67
Co  0.0000  0.5000  0.5000  2 H 1.81
Co  0.5000  0.0000  0.5000  2 H 1.81
H  0.0000  0.0000  0.5000  4 Co 1.81, 2 Nb 1.96

=====

No. 3
The following is a DFT calculation (PBE-GGA) of a relaxed NbCrCo2H crystal.

ΔE to the lowest computed polymorph in meV per atom: 0.0
Space-group type: P4/mmm, No. 123
Uncorrected energy in Ry per atom: -0.55083

Cell lengths 3.6713, 3.6713, 3.8328 Å; angles 90.00, 90.00, 90.00 degrees
Closest atoms and distances in Å follow each position.
Element x y z (fractional)
Nb  0.0000  0.0000  0.0000  4 Cr 2.60, 8 Co 2.65
Cr  0.5000  0.5000  0.0000  2 H 1.92
Co  0.0000  0.5000  0.5000  2 H 1.84
Co  0.5000  0.0000  0.5000  2 H 1.84
H  0.5000  0.5000  0.5000  4 Co 1.84, 2 Cr 1.92

=====

No. 4
The following is a DFT calculation (PBE-GGA) of a relaxed Nb2CrCoH crystal.

ΔE to the lowest computed polymorph in meV per atom: 0.0
Space-group type: P4/mmm, No. 123
Uncorrected energy in Ry per atom: -0.59397

Cell lengths 4.2950, 4.2950, 3.2995 Å; angles 90.00, 90.00, 90.00 degrees
Closest atoms and distances in Å follow each position.
Element x y z (fractional)
Nb  0.0000  0.5000  0.0000  2 H 2.15
Nb  0.5000  0.0000  0.0000  2 H 2.15
Cr  0.0000  0.0000  0.5000  8 Nb 2.71
Co  0.5000  0.5000  0.5000  2 H 1.65
H  0.5000  0.5000  0.0000  2 Co 1.65

=====

No. 5
The following is a DFT calculation (PBE-GGA) of a relaxed Nb2CrCoH crystal.

ΔE to the lowest computed polymorph in meV per atom: 58.2
Space-group type: P4/mmm, No. 123
Uncorrected energy in Ry per atom: -0.58969

Cell lengths 4.3268, 4.3268, 3.3080 Å; angles 90.00, 90.00, 90.00 degrees
Closest atoms and distances in Å follow each position.
Element x y z (fractional)
Nb  0.0000  0.5000  0.0000  2 H 2.16
Nb  0.5000  0.0000  0.0000  2 H 2.16
Cr  0.0000  0.0000  0.5000  2 H 1.65
Co  0.5000  0.5000  0.5000  8 Nb 2.72
H  0.0000  0.0000  0.0000  2 Cr 1.65

=====

No. 6
The following is a DFT calculation (PBE-GGA) of a relaxed Cr2CoNiH crystal.

ΔE to the lowest computed polymorph in meV per atom: 17.1
Space-group type: P4/mmm, No. 123
Uncorrected energy in Ry per atom: -0.51542

Cell lengths 3.5877, 3.5877, 3.6196 Å; angles 90.00, 90.00, 90.00 degrees
Closest atoms and distances in Å follow each position.
Element x y z (fractional)
Cr  0.0000  0.5000  0.0000  2 H 1.79
Cr  0.5000  0.0000  0.0000  2 H 1.79
Co  0.0000  0.0000  0.5000  4 Ni 2.54, 8 Cr 2.55
Ni  0.5000  0.5000  0.5000  2 H 1.81
H  0.5000  0.5000  0.0000  4 Cr 1.79, 2 Ni 1.81

=====

No. 7
The following is a DFT calculation (PBE-GGA) of a relaxed CrCoNi2H crystal.

ΔE to the lowest computed polymorph in meV per atom: 0.0
Space-group type: P4/mmm, No. 123
Uncorrected energy in Ry per atom: -0.46243

Cell lengths 3.5956, 3.5956, 3.6247 Å; angles 90.00, 90.00, 90.00 degrees
Closest atoms and distances in Å follow each position.
Element x y z (fractional)
Cr  0.0000  0.0000  0.0000  4 Co 2.54, 8 Ni 2.55
Co  0.5000  0.5000  0.0000  2 H 1.81
Ni  0.0000  0.5000  0.5000  2 H 1.80
Ni  0.5000  0.0000  0.5000  2 H 1.80
H  0.5000  0.5000  0.5000  4 Ni 1.80, 2 Co 1.81

=====

No. 8
The following is a DFT calculation (PBE-GGA) of a relaxed CrCo2NiH crystal.

ΔE to the lowest computed polymorph in meV per atom: 11.9
Space-group type: P4/mmm, No. 123
Uncorrected energy in Ry per atom: -0.47978

Cell lengths 3.5524, 3.5524, 3.6417 Å; angles 90.00, 90.00, 90.00 degrees
Closest atoms and distances in Å follow each position.
Element x y z (fractional)
Cr  0.0000  0.0000  0.0000  2 H 1.82
Co  0.0000  0.5000  0.5000  2 H 1.78
Co  0.5000  0.0000  0.5000  2 H 1.78
Ni  0.5000  0.5000  0.0000  4 Cr 2.51, 8 Co 2.54
H  0.0000  0.0000  0.5000  4 Co 1.78, 2 Cr 1.82

=====

No. 9
The following is a DFT calculation (PBE-GGA) of a relaxed CrCoNi2H4 crystal.

Space-group type: Imma, No. 74
Uncorrected energy in Ry per atom: -0.38296

Cell lengths 5.3063, 5.3063, 5.3063 Å; angles 120.35, 119.79, 89.88 degrees
Closest atoms and distances in Å follow each position.
Element x y z (fractional)
Cr  0.5000  0.0000  0.0000  6 H 1.89-1.91
Cr  0.5000  0.5000  0.5000  6 H 1.89-1.91
Co  0.0000  0.0000  0.0000  6 H 1.83
Co  0.5000  0.0000  0.5000  6 H 1.83
Ni  0.0000  0.0000  0.5000  6 H 1.85-1.86
Ni  0.0000  0.5000  0.0000  6 H 1.85-1.86
Ni  0.0000  0.5000  0.5000  6 H 1.92-1.93
Ni  0.5000  0.5000  0.0000  6 H 1.92-1.93
H  0.2397  0.2434  0.9964  1 Co 1.83, 3 Ni 1.86-1.93, 2 Cr 1.89
H  0.2458  0.2336  0.4878  2 Co 1.83, 3 Ni 1.85-1.92, 1 Cr 1.91
H  0.2458  0.7580  0.0122  2 Co 1.83, 3 Ni 1.85-1.92, 1 Cr 1.91
H  0.2530  0.7566  0.4964  1 Co 1.83, 3 Ni 1.86-1.93, 2 Cr 1.89
H  0.7470  0.2434  0.5036  1 Co 1.83, 3 Ni 1.86-1.93, 2 Cr 1.89
H  0.7542  0.2420  0.9878  2 Co 1.83, 3 Ni 1.85-1.92, 1 Cr 1.91
H  0.7542  0.7664  0.5122  2 Co 1.83, 3 Ni 1.85-1.92, 1 Cr 1.91
H  0.7603  0.7566  0.0036  1 Co 1.83, 3 Ni 1.86-1.93, 2 Cr 1.89

=====

No. 10
The following is a DFT calculation (PBE-GGA) of a relaxed CrCo2NiH crystal.

ΔE to the lowest computed polymorph in meV per atom: 0.0
Space-group type: P4/mmm, No. 123
Uncorrected energy in Ry per atom: -0.48066

Cell lengths 3.6013, 3.6013, 3.5646 Å; angles 90.00, 90.00, 90.00 degrees
Closest atoms and distances in Å follow each position.
Element x y z (fractional)
Cr  0.0000  0.0000  0.0000  8 Co 2.53, 4 Ni 2.55
Co  0.0000  0.5000  0.5000  2 H 1.80
Co  0.5000  0.0000  0.5000  2 H 1.80
Ni  0.5000  0.5000  0.0000  2 H 1.78
H  0.5000  0.5000  0.5000  2 Ni 1.78, 4 Co 1.80

=====

No. 11
The following is a DFT calculation (PBE-GGA) of a relaxed CrCoNi2H crystal.

ΔE to the lowest computed polymorph in meV per atom: 29.9
Space-group type: P4/mmm, No. 123
Uncorrected energy in Ry per atom: -0.46023

Cell lengths 3.5380, 3.5380, 3.7552 Å; angles 90.00, 90.00, 90.00 degrees
Closest atoms and distances in Å follow each position.
Element x y z (fractional)
Cr  0.0000  0.0000  0.0000  2 H 1.88
Co  0.5000  0.5000  0.0000  4 Cr 2.50, 8 Ni 2.58
Ni  0.0000  0.5000  0.5000  2 H 1.77
Ni  0.5000  0.0000  0.5000  2 H 1.77
H  0.0000  0.0000  0.5000  4 Ni 1.77, 2 Cr 1.88

=====

No. 12
The following is a DFT calculation (PBE-GGA) of a relaxed Cr2CoNiH crystal.

ΔE to the lowest computed polymorph in meV per atom: 0.0
Space-group type: P4/mmm, No. 123
Uncorrected energy in Ry per atom: -0.51667

Cell lengths 3.5895, 3.5895, 3.6140 Å; angles 90.00, 90.00, 90.00 degrees
Closest atoms and distances in Å follow each position.
Element x y z (fractional)
Cr  0.0000  0.5000  0.0000  2 H 1.79
Cr  0.5000  0.0000  0.0000  2 H 1.79
Co  0.0000  0.0000  0.5000  2 H 1.81
Ni  0.5000  0.5000  0.5000  4 Co 2.54, 8 Cr 2.55
H  0.0000  0.0000  0.0000  4 Cr 1.79, 2 Co 1.81

=====

No. 13
The following is a DFT calculation (PBE-GGA) of a relaxed NpCrCo2H8 crystal.

Space-group type: R-3, No. 148
Uncorrected energy in Ry per atom: -0.38982

Cell lengths 5.8671, 5.8671, 5.8671 Å; angles 44.75, 44.75, 44.75 degrees
Closest atoms and distances in Å follow each position.
Element x y z (fractional)
Np  0.0000  0.0000  0.0000  6 H 2.25
Cr  0.5000  0.5000  0.5000  6 H 1.79
Co  0.2032  0.2032  0.2032  4 H 1.63
Co  0.7968  0.7968  0.7968  4 H 1.63
H  0.1187  0.8341  0.3999  1 Co 1.63, 1 Cr 1.79
H  0.1659  0.6001  0.8813  1 Co 1.63, 1 Cr 1.79
H  0.3063  0.3063  0.3063  1 Co 1.63
H  0.3999  0.1187  0.8341  1 Co 1.63, 1 Cr 1.79
H  0.6001  0.8813  0.1659  1 Co 1.63, 1 Cr 1.79
H  0.6937  0.6937  0.6937  1 Co 1.63
H  0.8341  0.3999  0.1187  1 Co 1.63, 1 Cr 1.79
H  0.8813  0.1659  0.6001  1 Co 1.63, 1 Cr 1.79

=====

No. 14
The following is a DFT calculation (PBE-GGA) of a relaxed CrCo2HOs crystal.

ΔE to the lowest computed polymorph in meV per atom: 39.0
Space-group type: P4/mmm, No. 123
Uncorrected energy in Ry per atom: -0.55801

Cell lengths 3.6252, 3.6252, 3.7879 Å; angles 90.00, 90.00, 90.00 degrees
Closest atoms and distances in Å follow each position.
Element x y z (fractional)
Cr  0.0000  0.0000  0.0000  4 Os 2.56, 8 Co 2.62
Co  0.0000  0.5000  0.5000  2 H 1.81
Co  0.5000  0.0000  0.5000  2 H 1.81
H  0.5000  0.5000  0.5000  4 Co 1.81, 2 Os 1.89
Os  0.5000  0.5000  0.0000  2 H 1.89

=====

The V results, record by record, are as follows: 50.2 51.3 51.7 60.9 61.9 46.6 46.9 46.0 105.5 46.2 47.0 46.6 91.0 49.8 Å³ per cell.